A crystal of ScBiSbI2 relaxed with PBEsol. Source: Alexandria, functional SCAN.

Computed properties:
* density of states at the Fermi level: 3.26 states/eV/f.u.
* raw formation energy: -0.65 eV/f.u.
* VASP energy: -204.210 eV per formula unit
* space-group type: P4/mmm (123)

a b c (Å): 5.399 5.399 5.817
angles (deg): 90.00 90.00 90.00
Positions (direct):
1 Sc 0.000 0.000 0.000
2 Bi 0.500 0.500 0.500
3 Sb 0.000 0.000 0.500
4 I 0.000 0.500 0.000
5 I 0.500 0.000 0.000

***

A crystal of SnBiSb2I relaxed with PBEsol. Source: Alexandria, functional SCAN.

Computed properties:
* density of states at the Fermi level: 4.76 states/eV/f.u.
* raw formation energy: 3.95 eV/f.u.
* VASP energy: -221.817 eV per formula unit
* space-group type: P4/mmm (123)

a b c (Å): 5.823 5.823 5.810
angles (deg): 90.00 90.00 90.00
Positions (direct):
1 Sn 0.000 0.000 0.000
2 Bi 0.500 0.500 0.500
3 Sb 0.000 0.500 0.500
4 Sb 0.500 0.000 0.500
5 I 0.500 0.500 0.000